No. 1
# K2ZrGeSe5 (PBE, optimized geometry)
data_K2ZrGeSe5
_cell_length_a 10.114
_cell_length_b 10.114
_cell_length_c 14.194
_cell_angle_alpha 90.00
_cell_angle_beta 90.00
_cell_angle_gamma 157.43
_space_group_name_H-M_alt 'P 1'
_space_group_IT_number 1
loop_
_space_group_symop_operation_xyz
'x,y,z'
loop_
_atom_site_label
_atom_site_type_symbol
_atom_site_fract_x
_atom_site_fract_y
_atom_site_fract_z
_atom_site_occupancy
K1 K 0.123 0.877 0.500 1
K2 K 0.130 0.870 0.857 1
K3 K 0.870 0.130 0.357 1
K4 K 0.877 0.123 0.000 1
Zr1 Zr 0.211 0.789 0.209 1
Zr2 Zr 0.789 0.211 0.709 1
Ge1 Ge 0.432 0.568 0.590 1
Ge2 Ge 0.568 0.432 0.090 1
Se1 Se 0.057 0.943 0.199 1
Se2 Se 0.305 0.695 0.833 1
Se3 Se 0.311 0.689 0.568 1
Se4 Se 0.334 0.666 0.177 1
Se5 Se 0.491 0.509 0.453 1
Se6 Se 0.509 0.491 0.953 1
Se7 Se 0.666 0.334 0.677 1
Se8 Se 0.689 0.311 0.068 1
Se9 Se 0.695 0.305 0.333 1
Se10 Se 0.943 0.057 0.699 1
# - Total DFT energy (no corrections): -83.62 eV/cell
# - Crystal system: orthorhombic

***

No. 2
# K3SiGe4 (PBE, optimized geometry)
data_K3SiGe4
_cell_length_a 6.788
_cell_length_b 13.123
_cell_length_c 5.386
_cell_angle_alpha 90.00
_cell_angle_beta 90.00
_cell_angle_gamma 90.00
_space_group_name_H-M_alt 'P 1'
_space_group_IT_number 1
loop_
_space_group_symop_operation_xyz
'x,y,z'
loop_
_atom_site_label
_atom_site_type_symbol
_atom_site_fract_x
_atom_site_fract_y
_atom_site_fract_z
_atom_site_occupancy
K1 K 0.250 0.022 0.175 1
K2 K 0.250 0.250 0.573 1
K3 K 0.250 0.478 0.175 1
K4 K 0.750 0.522 0.825 1
K5 K 0.750 0.750 0.427 1
K6 K 0.750 0.978 0.825 1
Si1 Si 0.250 0.750 0.342 1
Si2 Si 0.750 0.250 0.658 1
Ge1 Ge 0.051 0.750 0.939 1
Ge2 Ge 0.250 0.616 0.669 1
Ge3 Ge 0.250 0.884 0.669 1
Ge4 Ge 0.449 0.750 0.939 1
Ge5 Ge 0.551 0.250 0.061 1
Ge6 Ge 0.750 0.116 0.331 1
Ge7 Ge 0.750 0.384 0.331 1
Ge8 Ge 0.949 0.250 0.061 1
# - Total DFT energy (no corrections): -55.94 eV/cell
# - Crystal system: orthorhombic

***

No. 3
# KSi3Ge (PBE, optimized geometry)
data_KSi3Ge
_cell_length_a 5.316
_cell_length_b 5.316
_cell_length_c 5.316
_cell_angle_alpha 90.00
_cell_angle_beta 90.00
_cell_angle_gamma 90.00
_space_group_name_H-M_alt 'P 1'
_space_group_IT_number 1
loop_
_space_group_symop_operation_xyz
'x,y,z'
loop_
_atom_site_label
_atom_site_type_symbol
_atom_site_fract_x
_atom_site_fract_y
_atom_site_fract_z
_atom_site_occupancy
K1 K 0.000 0.000 0.000 1
Si1 Si 0.000 0.000 0.500 1
Si2 Si 0.000 0.500 0.000 1
Si3 Si 0.500 0.000 0.000 1
Ge1 Ge 0.500 0.500 0.500 1
# - ΔE to the lowest computed polymorph: 126.5 kJ per mole of atoms
# - Crystal system: cubic

***

No. 4
# K3Si2Ge3 (PBE, optimized geometry)
data_K3Si2Ge3
_cell_length_a 7.480
_cell_length_b 7.480
_cell_length_c 14.246
_cell_angle_alpha 90.00
_cell_angle_beta 90.00
_cell_angle_gamma 143.57
_space_group_name_H-M_alt 'P 1'
_space_group_IT_number 1
loop_
_space_group_symop_operation_xyz
'x,y,z'
loop_
_atom_site_label
_atom_site_type_symbol
_atom_site_fract_x
_atom_site_fract_y
_atom_site_fract_z
_atom_site_occupancy
K1 K 0.072 0.928 0.750 1
K2 K 0.156 0.844 0.502 1
K3 K 0.156 0.844 0.998 1
K4 K 0.844 0.156 0.002 1
K5 K 0.844 0.156 0.498 1
K6 K 0.928 0.072 0.250 1
Si1 Si 0.358 0.642 0.667 1
Si2 Si 0.358 0.642 0.833 1
Si3 Si 0.642 0.358 0.167 1
Si4 Si 0.642 0.358 0.333 1
Ge1 Ge 0.192 0.808 0.250 1
Ge2 Ge 0.491 0.509 0.085 1
Ge3 Ge 0.491 0.509 0.415 1
Ge4 Ge 0.509 0.491 0.585 1
Ge5 Ge 0.509 0.491 0.915 1
Ge6 Ge 0.808 0.192 0.750 1
# - Total DFT energy (no corrections): -54.68 eV/cell
# - Crystal system: orthorhombic

***

No. 5
# K2SiGe (PBE, optimized geometry)
data_K2SiGe
_cell_length_a 12.941
_cell_length_b 12.941
_cell_length_c 4.718
_cell_angle_alpha 90.00
_cell_angle_beta 90.00
_cell_angle_gamma 90.00
_space_group_name_H-M_alt 'P 1'
_space_group_IT_number 1
loop_
_space_group_symop_operation_xyz
'x,y,z'
loop_
_atom_site_label
_atom_site_type_symbol
_atom_site_fract_x
_atom_site_fract_y
_atom_site_fract_z
_atom_site_occupancy
K1 K 0.029 0.750 0.125 1
K2 K 0.250 0.029 0.875 1
K3 K 0.250 0.471 0.375 1
K4 K 0.471 0.750 0.625 1
K5 K 0.529 0.250 0.625 1
K6 K 0.750 0.529 0.375 1
K7 K 0.750 0.971 0.875 1
K8 K 0.971 0.250 0.125 1
Si1 Si 0.000 0.000 0.000 1
Si2 Si 0.000 0.500 0.250 1
Si3 Si 0.500 0.000 0.750 1
Si4 Si 0.500 0.500 0.500 1
Ge1 Ge 0.000 0.000 0.500 1
Ge2 Ge 0.000 0.500 0.750 1
Ge3 Ge 0.500 0.000 0.250 1
Ge4 Ge 0.500 0.500 0.000 1
# - ΔE to the lowest computed polymorph: 0.0 kJ per mole of atoms
# - Crystal system: tetragonal

***

No. 6
# K2SiGe2 (PBE, optimized geometry)
data_K2SiGe2
_cell_length_a 6.775
_cell_length_b 6.775
_cell_length_c 5.655
_cell_angle_alpha 90.00
_cell_angle_beta 90.00
_cell_angle_gamma 90.00
_space_group_name_H-M_alt 'P 1'
_space_group_IT_number 1
loop_
_space_group_symop_operation_xyz
'x,y,z'
loop_
_atom_site_label
_atom_site_type_symbol
_atom_site_fract_x
_atom_site_fract_y
_atom_site_fract_z
_atom_site_occupancy
K1 K 0.181 0.319 0.000 1
K2 K 0.319 0.819 0.000 1
K3 K 0.681 0.181 0.000 1
K4 K 0.819 0.681 0.000 1
Si1 Si 0.000 0.000 0.500 1
Si2 Si 0.500 0.500 0.500 1
Ge1 Ge 0.134 0.634 0.500 1
Ge2 Ge 0.366 0.134 0.500 1
Ge3 Ge 0.634 0.866 0.500 1
Ge4 Ge 0.866 0.366 0.500 1
# - ΔE to the lowest computed polymorph: 0.0 kJ per mole of atoms
# - Crystal system: tetragonal

***

No. 7
# KSiGe3 (PBE, optimized geometry)
data_KSiGe3
_cell_length_a 5.415
_cell_length_b 5.415
_cell_length_c 5.415
_cell_angle_alpha 90.00
_cell_angle_beta 90.00
_cell_angle_gamma 90.00
_space_group_name_H-M_alt 'P 1'
_space_group_IT_number 1
loop_
_space_group_symop_operation_xyz
'x,y,z'
loop_
_atom_site_label
_atom_site_type_symbol
_atom_site_fract_x
_atom_site_fract_y
_atom_site_fract_z
_atom_site_occupancy
K1 K 0.000 0.000 0.000 1
Si1 Si 0.500 0.500 0.500 1
Ge1 Ge 0.000 0.000 0.500 1
Ge2 Ge 0.000 0.500 0.000 1
Ge3 Ge 0.500 0.000 0.000 1
# - ΔE to the lowest computed polymorph: 135.7 kJ per mole of atoms
# - Crystal system: cubic

***

No. 8
# KSiGe2 (PBE, optimized geometry)
data_KSiGe2
_cell_length_a 4.262
_cell_length_b 4.262
_cell_length_c 19.539
_cell_angle_alpha 90.00
_cell_angle_beta 90.00
_cell_angle_gamma 120.00
_space_group_name_H-M_alt 'P 1'
_space_group_IT_number 1
loop_
_space_group_symop_operation_xyz
'x,y,z'
loop_
_atom_site_label
_atom_site_type_symbol
_atom_site_fract_x
_atom_site_fract_y
_atom_site_fract_z
_atom_site_occupancy
K1 K 0.000 0.000 0.000 1
K2 K 0.333 0.667 0.667 1
K3 K 0.667 0.333 0.333 1
Si1 Si 0.000 0.000 0.500 1
Si2 Si 0.333 0.667 0.167 1
Si3 Si 0.667 0.333 0.833 1
Ge1 Ge 0.000 0.000 0.210 1
Ge2 Ge 0.000 0.000 0.790 1
Ge3 Ge 0.333 0.667 0.456 1
Ge4 Ge 0.333 0.667 0.877 1
Ge5 Ge 0.667 0.333 0.123 1
Ge6 Ge 0.667 0.333 0.544 1
# - Total DFT energy (no corrections): -45.81 eV/cell
# - Crystal system: trigonal

***

No. 9
# KSi3Ge (PBE, optimized geometry)
data_KSi3Ge
_cell_length_a 4.997
_cell_length_b 4.997
_cell_length_c 4.997
_cell_angle_alpha 90.00
_cell_angle_beta 90.00
_cell_angle_gamma 90.00
_space_group_name_H-M_alt 'P 1'
_space_group_IT_number 1
loop_
_space_group_symop_operation_xyz
'x,y,z'
loop_
_atom_site_label
_atom_site_type_symbol
_atom_site_fract_x
_atom_site_fract_y
_atom_site_fract_z
_atom_site_occupancy
K1 K 0.000 0.000 0.000 1
Si1 Si 0.000 0.500 0.500 1
Si2 Si 0.500 0.000 0.500 1
Si3 Si 0.500 0.500 0.000 1
Ge1 Ge 0.500 0.500 0.500 1
# - ΔE to the lowest computed polymorph: 0.0 kJ per mole of atoms
# - Crystal system: cubic

***

No. 10
# K2SiGe2 (PBE, optimized geometry)
data_K2SiGe2
_cell_length_a 4.643
_cell_length_b 4.643
_cell_length_c 13.722
_cell_angle_alpha 90.00
_cell_angle_beta 90.00
_cell_angle_gamma 90.00
_space_group_name_H-M_alt 'P 1'
_space_group_IT_number 1
loop_
_space_group_symop_operation_xyz
'x,y,z'
loop_
_atom_site_label
_atom_site_type_symbol
_atom_site_fract_x
_atom_site_fract_y
_atom_site_fract_z
_atom_site_occupancy
K1 K 0.000 0.500 0.250 1
K2 K 0.000 0.500 0.750 1
K3 K 0.500 0.000 0.250 1
K4 K 0.500 0.000 0.750 1
Si1 Si 0.000 0.000 0.000 1
Si2 Si 0.500 0.500 0.500 1
Ge1 Ge 0.000 0.000 0.418 1
Ge2 Ge 0.000 0.000 0.582 1
Ge3 Ge 0.500 0.500 0.082 1
Ge4 Ge 0.500 0.500 0.918 1
# - ΔE to the lowest computed polymorph: 39.9 kJ per mole of atoms
# - Crystal system: tetragonal

***

No. 11
# K3SiGe (PBE, optimized geometry)
data_K3SiGe
_cell_length_a 6.418
_cell_length_b 6.418
_cell_length_c 6.418
_cell_angle_alpha 90.00
_cell_angle_beta 90.00
_cell_angle_gamma 90.00
_space_group_name_H-M_alt 'P 1'
_space_group_IT_number 1
loop_
_space_group_symop_operation_xyz
'x,y,z'
loop_
_atom_site_label
_atom_site_type_symbol
_atom_site_fract_x
_atom_site_fract_y
_atom_site_fract_z
_atom_site_occupancy
K1 K 0.000 0.000 0.500 1
K2 K 0.000 0.500 0.000 1
K3 K 0.500 0.000 0.000 1
Si1 Si 0.000 0.000 0.000 1
Ge1 Ge 0.500 0.500 0.500 1
# - ΔE to the lowest computed polymorph: 0.0 kJ per mole of atoms
# - Crystal system: cubic

***

No. 12
# KSiGe2 (PBE, optimized geometry)
data_KSiGe2
_cell_length_a 5.262
_cell_length_b 5.262
_cell_length_c 16.937
_cell_angle_alpha 90.00
_cell_angle_beta 90.00
_cell_angle_gamma 90.00
_space_group_name_H-M_alt 'P 1'
_space_group_IT_number 1
loop_
_space_group_symop_operation_xyz
'x,y,z'
loop_
_atom_site_label
_atom_site_type_symbol
_atom_site_fract_x
_atom_site_fract_y
_atom_site_fract_z
_atom_site_occupancy
K1 K 0.000 0.250 0.375 1
K2 K 0.000 0.750 0.625 1
K3 K 0.500 0.250 0.125 1
K4 K 0.500 0.750 0.875 1
Si1 Si 0.000 0.250 0.875 1
Si2 Si 0.000 0.750 0.125 1
Si3 Si 0.500 0.250 0.625 1
Si4 Si 0.500 0.750 0.375 1
Ge1 Ge 0.000 0.000 0.000 1
Ge2 Ge 0.000 0.500 0.000 1
Ge3 Ge 0.250 0.250 0.750 1
Ge4 Ge 0.250 0.750 0.250 1
Ge5 Ge 0.500 0.000 0.500 1
Ge6 Ge 0.500 0.500 0.500 1
Ge7 Ge 0.750 0.250 0.750 1
Ge8 Ge 0.750 0.750 0.250 1
# - Total DFT energy (no corrections): -60.05 eV/cell
# - Crystal system: tetragonal